First-principles (PBE) data for a relaxed InAgSnTe3 crystal, as listed in OQMD.

## Properties
Polymorph energy (0 for the lowest one): 0.062 eV per formula unit
V: 345.8 Å³/cell
Mass density: 6.95 g/cm³

Cell: 4.173 7.476 11.544 Å, 90.00 90.00 73.80°
Fractional positions:
Te (0.652, 0.696, 0.562)
Te (0.652, 0.696, 0.938)
Te (0.348, 0.304, 0.438)
Te (0.891, 0.218, 0.750)
Te (0.109, 0.782, 0.250)
Te (0.348, 0.304, 0.062)
Sn (0.000, 0.000, 0.500)
Sn (0.000, 0.000, 0.000)
In (0.773, 0.454, 0.250)
In (0.227, 0.546, 0.750)
Ag (0.525, 0.950, 0.750)
Ag (0.475, 0.050, 0.250)